(1)
{"formula": "Na4Li2H", "functional": "PBE", "state": "optimized geometry", "final_energy_ev_per_cell": -11.80, "sg": "I4/mmm (139)", "rho_g_cm3": 0.95, "lattice_angstrom": [[4.595, 0.000, 0.000], [0.000, 4.595, 0.000], [2.298, 2.298, 8.864]], "species": ["Na", "Na", "Na", "Na", "H", "Li", "Li"], "fractional_positions": [[0.860, 0.860, 0.280], [0.140, 0.140, 0.720], [0.000, 0.500, 0.000], [0.500, 0.000, 0.000], [0.000, 0.000, 0.000], [0.686, 0.686, 0.629], [0.314, 0.314, 0.371]]}

(2)
{"formula": "Na2Li4H5", "functional": "PBE", "state": "optimized geometry", "final_energy_ev_per_cell": -29.67, "sg": "R-3m (166)", "rho_g_cm3": 0.91, "lattice_angstrom": [[3.220, 0.000, 0.393], [1.586, 2.802, 0.393], [-0.307, -0.179, 15.920]], "species": ["Na", "Na", "Li", "Li", "Li", "Li", "H", "H", "H", "H", "H"], "fractional_positions": [[0.135, 0.135, 0.594], [0.865, 0.865, 0.406], [0.688, 0.688, 0.936], [0.603, 0.603, 0.192], [0.397, 0.397, 0.808], [0.312, 0.312, 0.064], [0.731, 0.731, 0.806], [0.645, 0.645, 0.064], [0.500, 0.500, 0.500], [0.355, 0.355, 0.936], [0.269, 0.269, 0.194]]}

(3)
{"formula": "Na3Li12H5", "functional": "PBE", "state": "optimized geometry", "final_energy_ev_per_cell": -174.70, "sg": "Ia-3d (230)", "rho_g_cm3": 0.77, "lattice_angstrom": [[-3.806, 11.400, -1.234], [-3.759, -4.374, 10.617], [12.071, -0.284, -0.427]], "species": ["Na", "Na", "Na", "Na", "Na", "Na", "Na", "Na", "Na", "Na", "Na", "Na", "H", "H", "H", "H", "H", "H", "H", "H", "H", "H", "H", "H", "H", "H", "H", "H", "H", "H", "H", "H", "Li", "Li", "Li", "Li", "Li", "Li", "Li", "Li", "Li", "Li", "Li", "Li", "Li", "Li", "Li", "Li", "Li", "Li", "Li", "Li", "Li", "Li", "Li", "Li", "Li", "Li", "Li", "Li", "Li", "Li", "Li", "Li", "Li", "Li", "Li", "Li", "Li", "Li", "Li", "Li", "Li", "Li", "Li", "Li", "Li", "Li", "Li", "Li"], "fractional_positions": [[0.750, 0.375, 0.125], [0.875, 0.750, 0.125], [0.375, 0.750, 0.625], [0.250, 0.125, 0.375], [0.875, 0.125, 0.250], [0.375, 0.625, 0.250], [0.625, 0.375, 0.750], [0.125, 0.875, 0.750], [0.750, 0.875, 0.625], [0.625, 0.250, 0.375], [0.125, 0.250, 0.875], [0.250, 0.625, 0.875], [0.125, 0.375, 0.250], [0.000, 0.500, 0.000], [0.000, 0.000, 0.000], [0.375, 0.250, 0.125], [0.500, 0.000, 0.500], [0.500, 0.500, 0.000], [0.125, 0.750, 0.375], [0.750, 0.125, 0.875], [0.750, 0.625, 0.375], [0.375, 0.125, 0.750], [0.625, 0.875, 0.250], [0.500, 0.500, 0.500], [0.500, 0.000, 0.000], [0.000, 0.000, 0.500], [0.250, 0.375, 0.625], [0.250, 0.875, 0.125], [0.000, 0.500, 0.500], [0.875, 0.250, 0.625], [0.625, 0.750, 0.875], [0.875, 0.625, 0.750], [0.679, 0.089, 0.978], [0.299, 0.478, 0.389], [0.022, 0.411, 0.321], [0.478, 0.179, 0.089], [0.590, 0.679, 0.701], [0.022, 0.611, 0.201], [0.299, 0.821, 0.410], [0.111, 0.910, 0.089], [0.611, 0.022, 0.701], [0.679, 0.590, 0.201], [0.821, 0.522, 0.411], [0.799, 0.889, 0.978], [0.089, 0.679, 0.478], [0.411, 0.389, 0.090], [0.090, 0.889, 0.411], [0.410, 0.089, 0.611], [0.090, 0.201, 0.179], [0.522, 0.701, 0.111], [0.799, 0.910, 0.321], [0.089, 0.410, 0.111], [0.411, 0.022, 0.821], [0.611, 0.589, 0.410], [0.889, 0.799, 0.478], [0.821, 0.299, 0.910], [0.389, 0.411, 0.590], [0.111, 0.201, 0.522], [0.179, 0.701, 0.090], [0.201, 0.090, 0.679], [0.589, 0.978, 0.179], [0.911, 0.590, 0.889], [0.478, 0.299, 0.889], [0.590, 0.911, 0.389], [0.910, 0.799, 0.821], [0.910, 0.111, 0.589], [0.911, 0.321, 0.522], [0.201, 0.111, 0.022], [0.589, 0.611, 0.910], [0.389, 0.978, 0.299], [0.321, 0.410, 0.799], [0.179, 0.478, 0.589], [0.889, 0.090, 0.911], [0.701, 0.179, 0.590], [0.522, 0.821, 0.911], [0.978, 0.389, 0.799], [0.410, 0.321, 0.299], [0.978, 0.589, 0.679], [0.701, 0.522, 0.611], [0.321, 0.911, 0.022]]}

(4)
{"formula": "NaLi2H6", "functional": "PBE", "state": "optimized geometry", "final_energy_ev_per_cell": -21.29, "sg": "Fm-3m (225)", "rho_g_cm3": 1.02, "lattice_angstrom": [[-3.089, -1.288, 3.185], [-2.052, -4.128, -0.308], [1.051, -3.333, 3.022]], "species": ["Na", "H", "H", "H", "H", "H", "H", "Li", "Li"], "fractional_positions": [[0.000, 0.000, 0.000], [0.334, 0.666, 0.334], [0.666, 0.334, 0.334], [0.334, 0.666, 0.666], [0.666, 0.334, 0.666], [0.666, 0.666, 0.334], [0.334, 0.334, 0.666], [0.750, 0.750, 0.750], [0.250, 0.250, 0.250]]}

(5)
{"formula": "Na6LiH8", "functional": "PBE", "state": "optimized geometry", "final_energy_ev_per_cell": -37.49, "sg": "Fm-3m (225)", "rho_g_cm3": 1.24, "lattice_angstrom": [[0.538, 0.637, 6.562], [4.449, -3.598, 3.318], [5.329, 2.919, 2.613]], "species": ["Na", "Na", "Na", "Na", "Na", "Na", "Li", "H", "H", "H", "H", "H", "H", "H", "H"], "fractional_positions": [[0.000, 0.500, 0.500], [0.500, 0.000, 0.000], [0.500, 0.500, 0.000], [0.000, 0.000, 0.500], [0.000, 0.500, 0.000], [0.500, 0.000, 0.500], [0.000, 0.000, 0.000], [0.750, 0.750, 0.750], [0.250, 0.250, 0.250], [0.784, 0.216, 0.216], [0.216, 0.784, 0.784], [0.216, 0.216, 0.784], [0.784, 0.784, 0.216], [0.784, 0.216, 0.784], [0.216, 0.784, 0.216]]}

(6)
{"formula": "Na2LiH3", "functional": "PBE", "state": "optimized geometry", "final_energy_ev_per_cell": -32.08, "e_above_lowest_polymorph_kj_per_mol_atoms": 0.0, "sg": "C2/c (15)", "rho_g_cm3": 1.29, "lattice_angstrom": [[-3.267, 1.787, -2.806], [-0.876, -5.744, -2.638], [-1.525, -0.455, 5.359]], "species": ["Na", "Na", "Na", "Na", "Li", "Li", "H", "H", "H", "H", "H", "H"], "fractional_positions": [[0.664, 0.582, 0.329], [0.665, 0.082, 0.329], [0.335, 0.918, 0.671], [0.336, 0.418, 0.671], [0.972, 0.750, 0.000], [0.028, 0.250, 0.000], [0.467, 0.250, 0.000], [0.533, 0.750, 0.000], [0.149, 0.075, 0.298], [0.851, 0.425, 0.702], [0.149, 0.575, 0.298], [0.851, 0.925, 0.702]]}

(7)
{"formula": "Na4LiH5", "functional": "PBE", "state": "optimized geometry", "final_energy_ev_per_cell": -26.18, "sg": "R-3m (166)", "rho_g_cm3": 1.37, "lattice_angstrom": [[3.286, 0.000, 0.000], [1.643, 2.846, 0.000], [1.643, 0.949, 13.438]], "species": ["Na", "Na", "Na", "Na", "Li", "H", "H", "H", "H", "H"], "fractional_positions": [[0.896, 0.896, 0.312], [0.299, 0.299, 0.104], [0.701, 0.701, 0.896], [0.104, 0.104, 0.688], [0.500, 0.500, 0.500], [0.403, 0.403, 0.792], [0.000, 0.000, 0.000], [0.597, 0.597, 0.208], [0.806, 0.806, 0.582], [0.194, 0.194, 0.418]]}

(8)
{"formula": "NaLi3H", "functional": "PBE", "state": "optimized geometry", "final_energy_ev_per_cell": -6.34, "e_above_lowest_polymorph_kj_per_mol_atoms": 78.7, "sg": "Pm-3m (221)", "rho_g_cm3": 0.47, "lattice_angstrom": [[-0.280, -3.233, 4.318], [5.208, 0.963, 1.059], [-1.404, 4.218, 3.068]], "species": ["Na", "H", "Li", "Li", "Li"], "fractional_positions": [[0.000, 0.000, 0.000], [0.500, 0.500, 0.500], [0.000, 0.500, 0.000], [0.000, 0.000, 0.500], [0.500, 0.000, 0.000]]}

(9)
{"formula": "Na2LiH3", "functional": "PBE", "state": "optimized geometry", "final_energy_ev_per_cell": -16.00, "e_above_lowest_polymorph_kj_per_mol_atoms": 0.6, "sg": "I4/mmm (139)", "rho_g_cm3": 1.29, "lattice_angstrom": [[-1.625, 1.625, 6.832], [1.625, -1.625, 6.832], [1.625, 1.625, -6.832]], "species": ["Na", "Na", "Li", "H", "H", "H"], "fractional_positions": [[0.662, 0.662, 0.000], [0.338, 0.338, 0.000], [0.000, 0.000, 0.000], [0.500, 0.500, 0.000], [0.843, 0.843, 0.000], [0.157, 0.157, 0.000]]}

(10)
{"formula": "NaLi2Ni3H8", "functional": "PBE", "state": "optimized geometry", "final_energy_ev_per_cell": -51.84, "sg": "R3m (160)", "rho_g_cm3": 3.26, "lattice_angstrom": [[5.322, 0.000, 0.000], [2.661, 4.609, 0.000], [2.661, 1.536, 4.590]], "species": ["Na", "Li", "Li", "Ni", "Ni", "Ni", "H", "H", "H", "H", "H", "H", "H", "H"], "fractional_positions": [[0.871, 0.871, 0.388], [0.106, 0.106, 0.682], [0.502, 0.502, 0.495], [0.500, 0.004, 0.997], [0.004, 0.500, 0.997], [0.500, 0.500, 0.997], [0.267, 0.267, 0.199], [0.723, 0.723, 0.832], [0.252, 0.252, 0.810], [0.685, 0.252, 0.810], [0.252, 0.685, 0.810], [0.752, 0.329, 0.168], [0.329, 0.752, 0.168], [0.752, 0.752, 0.168]]}

(11)
{"formula": "NaLiNiH4", "functional": "PBE", "state": "optimized geometry", "final_energy_ev_per_cell": -24.12, "sg": "I4mm (107)", "rho_g_cm3": 2.45, "lattice_angstrom": [[-3.075, -1.184, 0.753], [-0.640, -0.430, -3.290], [3.887, -4.293, 1.540]], "species": ["Na", "Li", "Ni", "H", "H", "H", "H"], "fractional_positions": [[0.650, 0.650, 0.300], [0.385, 0.385, 0.770], [0.993, 0.993, 0.985], [0.991, 0.491, 0.983], [0.491, 0.991, 0.983], [0.850, 0.850, 0.700], [0.140, 0.140, 0.280]]}

(12)
{"formula": "Na3LiNi2H9", "functional": "PBE", "state": "optimized geometry", "final_energy_ev_per_cell": -50.19, "sg": "P-3m1 (164)", "rho_g_cm3": 2.65, "lattice_angstrom": [[-4.869, -0.450, 0.567], [3.018, -0.993, 3.760], [-0.325, 5.768, 1.784]], "species": ["Na", "Na", "Na", "Li", "Ni", "Ni", "H", "H", "H", "H", "H", "H", "H", "H", "H"], "fractional_positions": [[0.333, 0.667, 0.664], [0.000, 0.000, 0.000], [0.667, 0.333, 0.336], [0.000, 0.000, 0.500], [0.333, 0.667, 0.160], [0.667, 0.333, 0.840], [0.821, 0.179, 0.694], [0.821, 0.643, 0.694], [0.357, 0.179, 0.694], [0.643, 0.821, 0.306], [0.179, 0.357, 0.306], [0.179, 0.821, 0.306], [0.500, 0.000, 0.000], [0.000, 0.500, 0.000], [0.500, 0.500, 0.000]]}